Here is a relaxed EuTlMo2O8 crystal from the Alexandria database. Energies are from GGA+U.

The final energy is -176.3 eV per cell. For the magnetic moment, the calculation gives 5.966 μB/f.u. Its space group is No. 126.

a = 6.3651 Å, b = 6.3651 Å, c = 9.6971 Å
α = 90.00°, β = 90.00°, γ = 90.00°
Sites, in units of the cell vectors:
Eu: 0.2500 0.2500 0.2500
Eu: 0.7500 0.7500 0.7500
Tl: 0.2500 0.2500 0.7500
Tl: 0.7500 0.7500 0.2500
Mo: 0.2500 0.7500 0.0000
Mo: 0.2500 0.7500 0.5000
Mo: 0.7500 0.2500 0.0000
Mo: 0.7500 0.2500 0.5000
O: 0.0547 0.6351 0.6112
O: 0.0547 0.8649 0.8888
O: 0.1351 0.5547 0.1112
O: 0.1351 0.9453 0.3888
O: 0.3649 0.5547 0.3888
O: 0.3649 0.9453 0.1112
O: 0.4453 0.6351 0.8888
O: 0.4453 0.8649 0.6112
O: 0.5547 0.1351 0.3888
O: 0.5547 0.3649 0.1112
O: 0.6351 0.0547 0.8888
O: 0.6351 0.4453 0.6112
O: 0.8649 0.0547 0.6112
O: 0.8649 0.4453 0.8888
O: 0.9453 0.1351 0.1112
O: 0.9453 0.3649 0.3888